[1]
# CaMnI3

An optimized crystal structure of CaMnI3 (PBE, Alexandria via LeMat-Bulk).

Values from the calculation:
crystal system: cubic
SG: Pm-3m (221)
ρ: 4.4 Mg/m³
volume: 35.754 Å³ per atom
energy relative to the elements, uncorrected: -2.3 eV/f.u.

a b c (Å): 5.633 5.633 5.633
angles (deg): 90.00 90.00 90.00
Element x y z (fractional)
I 0.000 0.500 0.000
I 0.000 0.000 0.500
I 0.500 0.000 0.000
Ca 0.500 0.500 0.500
Mn 0.000 0.000 0.000

[2]
# Pa2ZnBi

An optimized crystal structure of Pa2ZnBi (PBE, Alexandria via LeMat-Bulk).

Values from the calculation:
crystal system: tetragonal
SG: P4/mmm (123)
ρ: 12.2 Mg/m³
ΔH_f (0 K): 0.039 eV/atom
volume: 25.143 Å³ per atom

a b c (Å): 4.010 4.010 6.253
angles (deg): 90.00 90.00 90.00
Element x y z (fractional)
Zn 0.500 0.500 0.000
Pa 0.000 0.000 0.780
Pa 0.000 0.000 0.220
Bi 0.500 0.500 0.500